This record from Alexandria via LeMat-Bulk describes a relaxed structure of AuCl3. The functional is PBE.

Unit cell a=3.5886 b=7.3318 c=5.6744 alpha=130.24 beta=108.43 gamma=90.00
Element x y z (fractional)
Cl: 0.5000 0.4160 0.0000
Cl: 0.7039 0.1207 0.4078
Cl: 0.2961 0.7129 0.5922
Au: 0.0000 0.9170 0.0000

Results
Energy relative to the elements, uncorrected, eV per atom: -0.026
V, Å³ per cell: 103.7
DOS(E_F), states/eV/atom: 0.238
Calculated total energy, eV/cell: -8.92
Mass density, g cm⁻³: 4.86

***

This record from Alexandria via LeMat-Bulk describes a relaxed structure of FeCuSe2. The functional is PBE.

Unit cell a=6.5052 b=6.5052 c=6.5052 alpha=151.10 beta=149.26 gamma=42.70
Element x y z (fractional)
Se: 0.7912 0.2912 0.5000
Se: 0.0492 0.0492 0.0000
Cu: 0.4556 0.4556 0.0000
Fe: 0.2040 0.7040 0.5000

Results
Energy relative to the elements, uncorrected, eV per atom: 0.058
V, Å³ per cell: 67.8
DOS(E_F), states/eV/atom: 0.688
Calculated total energy, eV/cell: -19.30
Mass density, g cm⁻³: 6.79

***

This record from Alexandria via LeMat-Bulk describes a relaxed structure of VOs5. The functional is PBE.

Unit cell a=4.7138 b=4.9483 c=7.5152 alpha=90.00 beta=90.00 gamma=90.00
Element x y z (fractional)
Os: 0.2525 0.3548 0.3983
Os: 0.2462 0.8559 0.2542
Os: 0.2475 0.8548 0.6017
Os: 0.7462 0.6441 0.7458
Os: 0.0000 0.0000 0.9411
Os: 0.7525 0.1452 0.6017
Os: 0.5000 0.5000 0.0589
Os: 0.7538 0.1441 0.2542
Os: 0.2538 0.3559 0.7458
Os: 0.7475 0.6452 0.3983
V: 0.0000 0.5000 0.0547
V: 0.5000 0.0000 0.9453

Results
Energy of formation from the pure elements, kJ per mole of atoms: 22.4
V, Å³ per cell: 175.3
DOS(E_F), states/eV/atom: 0.712
Calculated total energy, eV/cell: -127.75
Mass density, g cm⁻³: 18.99
Energy relative to the lowest polymorph listed for this composition, meV per atom: 226

***

This record from Alexandria via LeMat-Bulk describes a relaxed structure of PrNi6C. The functional is PBE.

Unit cell a=5.2403 b=5.2403 c=5.3556 alpha=60.71 beta=60.71 gamma=60.00
Element x y z (fractional)
Ni: 0.0997 0.5738 0.2267
Ni: 0.4262 0.9003 0.7733
Ni: 0.0997 0.0997 0.2267
Ni: 0.5738 0.0997 0.2267
Ni: 0.9003 0.9003 0.7733
Ni: 0.9003 0.4262 0.7733
C: 0.0000 0.0000 0.0000
Pr: 0.5000 0.5000 0.5000

Results
Energy of formation from the pure elements, kJ per mole of atoms: -3.1
V, Å³ per cell: 105.1
DOS(E_F), states/eV/atom: 0.491
Calculated total energy, eV/cell: -48.95
Mass density, g cm⁻³: 7.98

***

This record from Alexandria via LeMat-Bulk describes a relaxed structure of KMgIr2Se. The functional is PBE.

Unit cell a=4.7612 b=5.0224 c=4.7612 alpha=90.00 beta=90.00 gamma=90.00
Element x y z (fractional)
Se: 0.0000 0.0000 0.0000
K: 0.5000 0.5000 0.5000
Ir: 0.0000 0.0000 0.5000
Ir: 0.5000 0.0000 0.0000
Mg: 0.0000 0.5000 0.0000

Results
Energy relative to the elements, uncorrected, eV per atom: 0.635
V, Å³ per cell: 113.9
DOS(E_F), states/eV/atom: 0.913
Calculated total energy, eV/cell: -20.73
Mass density, g cm⁻³: 7.68

***

This record from Alexandria via LeMat-Bulk describes a relaxed structure of Hg4AsBr2F. The functional is PBE.

Unit cell a=8.8202 b=8.8202 c=8.2080 alpha=117.73 beta=117.73 gamma=99.34
Element x y z (fractional)
F: 0.0000 0.5000 0.5000
F: 0.0000 0.5000 0.0000
Br: 0.0000 0.0000 0.5000
Br: 0.5000 0.5000 0.0000
Br: 0.5000 0.0000 0.0000
Br: 0.5000 0.0000 0.5000
Hg: 0.7316 0.7684 0.5147
Hg: 0.8550 0.2601 0.0576
Hg: 0.2684 0.2316 0.4853
Hg: 0.7316 0.7684 0.9853
Hg: 0.2399 0.6450 0.4424
Hg: 0.2684 0.2316 0.0147
Hg: 0.7601 0.3549 0.5576
Hg: 0.1451 0.7399 0.9424
As: 0.5000 0.5000 0.5000
As: 0.0000 0.0000 0.0000

Results
Energy relative to the elements, uncorrected, eV per atom: -0.326
V, Å³ per cell: 437.9
DOS(E_F), states/eV/atom: 0.394
Calculated total energy, eV/cell: -27.36
Mass density, g cm⁻³: 8.01

***

This record from Alexandria via LeMat-Bulk describes a relaxed structure of Tc2AgRu. The functional is PBE.

Unit cell a=4.4253 b=2.7546 c=4.9035 alpha=90.00 beta=90.00 gamma=90.00
Element x y z (fractional)
Tc: 0.0000 0.1250 0.9654
Tc: 0.5000 0.1249 0.2695
Ag: 0.0000 0.6250 0.4673
Ru: 0.5000 0.6251 0.7978

Results
Energy of formation from the pure elements, kJ per mole of atoms: 32.8
V, Å³ per cell: 59.8
DOS(E_F), states/eV/atom: 0.603
Calculated total energy, eV/cell: -31.50
Mass density, g cm⁻³: 11.25
Energy relative to the lowest polymorph listed for this composition, meV per atom: 106

***

This record from Alexandria via LeMat-Bulk describes a relaxed structure of La2CuSbIr. The functional is PBE.

Unit cell a=5.4834 b=4.5914 c=5.4834 alpha=90.00 beta=90.00 gamma=90.00
Element x y z (fractional)
Cu: 0.0000 0.0000 0.0000
Ir: 0.0000 0.5000 0.0000
Sb: 0.5000 0.5000 0.5000
La: 0.5000 0.0000 0.0000
La: 0.0000 0.0000 0.5000

Results
Energy relative to the elements, uncorrected, eV per atom: -0.148
V, Å³ per cell: 138.1
DOS(E_F), states/eV/atom: 0.750
Calculated total energy, eV/cell: -27.67
Mass density, g cm⁻³: 7.88

***

This record from Alexandria via LeMat-Bulk describes a relaxed structure of Rb4SnGe3Cl12. The functional is PBE.

Unit cell a=9.2997 b=9.2997 c=9.2997 alpha=109.47 beta=109.47 gamma=109.47
Element x y z (fractional)
Cl: 0.0000 0.7429 0.7429
Cl: 0.2571 0.2571 0.0000
Cl: 0.0000 0.2571 0.2571
Cl: 0.5000 0.2500 0.7500
Cl: 0.7500 0.5000 0.2500
Cl: 0.7500 0.2500 0.5000
Cl: 0.7429 0.7429 0.0000
Cl: 0.2571 0.0000 0.2571
Cl: 0.2500 0.7500 0.5000
Cl: 0.2500 0.5000 0.7500
Cl: 0.7429 0.0000 0.7429
Cl: 0.5000 0.7500 0.2500
Ge: 0.0000 0.5000 0.5000
Ge: 0.5000 0.0000 0.5000
Ge: 0.5000 0.5000 0.0000
Rb: 0.5000 0.5000 0.5000
Rb: 0.5000 0.0000 0.0000
Rb: 0.0000 0.5000 0.0000
Rb: 0.0000 0.0000 0.5000
Sn: 0.0000 0.0000 0.0000

Results
Energy relative to the elements, uncorrected, eV per atom: -1.313
V, Å³ per cell: 619.1
Calculated total energy, eV/cell: -70.15
Mass density, g cm⁻³: 2.96

***

This record from Alexandria via LeMat-Bulk describes a relaxed structure of CaReGe2. The functional is PBE.

Unit cell a=5.1741 b=5.1741 c=8.7536 alpha=72.81 beta=72.81 gamma=90.00
Element x y z (fractional)
Ge: 0.9120 0.6250 0.2500
Ge: 0.3750 0.1620 0.7500
Ge: 0.8380 0.1250 0.2500
Ge: 0.8750 0.0880 0.7500
Ca: 0.5000 0.5000 0.0000
Ca: 0.2500 0.7500 0.5000
Re: 0.7500 0.2500 0.5000
Re: 0.0000 0.0000 0.0000

Results
Energy of formation from the pure elements, kJ per mole of atoms: 15.5
V, Å³ per cell: 212.9
DOS(E_F), states/eV/atom: 0.604
Calculated total energy, eV/cell: -46.08
Mass density, g cm⁻³: 5.80
Energy relative to the lowest polymorph listed for this composition, meV per atom: 142

***

Among the records above, which one has the highest mass density?
VOs5